# 1
A relaxed K3NbS4 crystal. Source: the Alexandria database, functional GGA-PBE.

The structure in extended XYZ format:
```
32
Lattice="-4.653 -3.400 7.390 -4.892 -5.908 -5.798 7.643 -7.614 1.309" Properties=species:S:1:pos:R:3 pbc="T T T"
S -1.010 -10.549 -3.524
S -4.966 -8.679 1.065
S -2.634 -6.973 -2.623
S -0.508 -7.018 0.428
S 1.271 -12.558 2.929
S -3.173 -4.363 -0.028
S -3.557 -3.718 5.969
S -0.892 -6.373 6.425
S 1.655 -13.204 -3.068
S -1.090 -12.820 -0.542
S 2.810 -9.220 -2.371
S -1.394 -9.903 2.473
S -0.812 -4.101 3.443
S -4.713 -7.702 5.272
S 0.732 -9.949 5.524
S 3.064 -8.242 1.836
Nb -0.316 -11.269 3.961
Nb -1.586 -5.653 -1.061
Nb -6.245 -10.169 -0.130
Nb 4.343 -6.753 3.030
K -3.115 -6.568 2.535
K 3.650 -10.428 4.157
K -2.831 -14.127 2.025
K 0.929 -2.794 0.876
K 5.609 -9.172 0.027
K -5.552 -6.493 -1.257
K -4.383 -10.866 3.409
K -2.424 -9.609 -0.721
K 1.213 -10.353 0.366
K -7.512 -7.750 2.873
K 2.481 -6.055 -0.508
K 0.522 -7.312 3.622
```

Summary:
The calculation puts the spin magnetization at 0.000 Bohr magnetons per cell. As for the symmetry: Pnma, No. 62. The calculation puts the formation energy from raw total energies at -1.2405 eV/atom.

=====

# 2
A relaxed Li3Ga4Pd2 crystal. Source: the Alexandria database, functional GGA-PBE.

The structure in extended XYZ format:
```
9
Lattice="-2.347 -1.595 -3.268 1.824 -0.596 -3.887 2.136 -7.529 2.146" Properties=species:S:1:pos:R:3 pbc="T T T"
Ga 1.428 -5.034 1.432
Ga 1.538 -8.111 -2.877
Ga 0.186 -4.686 -6.442
Ga 0.075 -1.609 -2.133
Li 0.000 0.000 0.000
Li 0.834 -5.633 -3.583
Li 0.779 -4.087 -1.426
Pd 1.496 -6.619 -0.709
Pd 0.118 -3.102 -4.300
```

Summary:
The calculation puts the spin magnetization at 0.000 Bohr magnetons per cell. The energy above the most stable polymorph in this dataset is 0 meV per atom. As for the symmetry: C2/m, No. 12. For the energy of formation, the calculation gives -0.527 eV/atom.

=====

# 3
A relaxed K2Rb2Cl2O crystal. Source: the Alexandria database, functional GGA-PBE.

The structure in extended XYZ format:
```
7
Lattice="4.263 0.000 0.000 2.131 7.834 0.689 0.000 2.743 6.920" Properties=species:S:1:pos:R:3 pbc="T T T"
O 0.000 0.000 0.000
K 4.264 4.960 5.641
K 2.131 5.617 1.968
Cl 2.132 7.068 4.886
Cl 4.262 3.509 2.723
Rb 2.132 0.877 1.669
Rb 4.263 9.700 5.941
```

Summary:
The calculation puts the spin magnetization at 0.097 Bohr magnetons per cell. As for the symmetry: C2/m, No. 12. The calculation puts the formation energy from raw total energies at -1.5069 eV/atom.

=====

# 4
A relaxed CaEr5P6 crystal. Source: the Alexandria database, functional GGA-PBE.

The structure in extended XYZ format:
```
12
Lattice="-6.363 -1.399 2.309 1.369 -0.299 -6.769 3.270 -5.735 2.091" Properties=species:S:1:pos:R:3 pbc="T T T"
P 1.162 -4.714 0.418
P 0.037 -5.358 -3.306
P -2.885 -2.719 -2.787
P -1.760 -2.076 0.938
P 0.872 -1.702 -2.152
P -2.595 -5.732 -0.216
Er -3.790 -1.033 -0.711
Er -3.452 -4.085 1.857
Er 1.728 -3.349 -4.225
Er -0.862 -3.717 -1.184
Er -1.203 -0.665 -3.748
Ca 0.000 0.000 0.000
```

Summary:
The calculation puts the spin magnetization at 0.000 Bohr magnetons per cell. As for the symmetry: C2/m, No. 12. For the energy of formation, the calculation gives -1.480 eV/atom.

=====

# 5
A relaxed Cs4Pb2Au crystal. Source: the Alexandria database, functional GGA-PBE.

The structure in extended XYZ format:
```
7
Lattice="-5.735 4.054 2.780 -0.369 -4.614 5.968 2.671 4.852 8.696" Properties=species:S:1:pos:R:3 pbc="T T T"
Cs -0.185 -2.307 2.984
Cs -2.867 2.027 1.390
Cs -3.837 1.472 10.460
Cs 0.404 2.819 6.984
Pb -2.127 0.549 5.072
Pb -1.306 3.742 12.371
Au 0.000 0.000 0.000
```

Summary:
The calculation puts the spin magnetization at 0.000 Bohr magnetons per cell. As for the symmetry: I4/mmm, No. 139. For the energy of formation, the calculation gives -0.083 eV/atom.

=====

# 6
A relaxed Na16LiTl12 crystal. Source: the Alexandria database, functional GGA-PBE.

The structure in extended XYZ format:
```
29
Lattice="-6.143 6.900 4.695 -4.514 -9.328 0.023 9.041 -0.518 4.950" Properties=species:S:1:pos:R:3 pbc="T T T"
Na -1.754 2.685 8.130
Na -5.497 0.252 6.750
Na -3.061 1.971 4.912
Na 3.223 -1.129 5.048
Na -5.645 -3.595 1.989
Na -0.106 0.165 9.615
Na -4.681 -2.769 7.987
Na 0.959 -3.866 4.226
Na 0.434 -5.221 8.065
Na -6.096 0.899 3.283
Na -4.992 -4.774 5.303
Na 0.455 1.159 5.672
Na -0.010 -0.009 0.026
Na -0.798 -6.833 5.390
Na -0.622 -1.026 3.346
Na -2.382 -4.785 2.967
Tl -0.611 2.510 2.732
Tl 0.006 -3.635 0.963
Tl 0.682 -1.936 6.965
Tl -1.923 -3.549 5.898
Tl -2.915 -2.233 0.978
Tl -6.715 -2.039 4.741
Tl -2.227 -0.515 6.772
Tl -3.548 4.952 6.551
Tl 2.513 -6.684 4.914
Tl 1.499 3.420 7.823
Tl -2.227 -8.212 2.761
Tl -3.220 0.803 1.852
Li -3.734 -1.580 4.186
```

Summary:
The calculation puts the spin magnetization at 0.000 Bohr magnetons per cell. As for the symmetry: Cm, No. 8. For the energy of formation, the calculation gives -0.104 eV/atom.

=====

# 7
A relaxed RbAsO2F crystal. Source: the Alexandria database, functional GGA-PBE.

The structure in extended XYZ format:
```
5
Lattice="3.891 0.000 0.000 0.000 3.891 0.000 0.000 0.000 4.632" Properties=species:S:1:pos:R:3 pbc="T T T"
O 1.946 0.000 0.000
O 0.000 1.946 0.000
As 0.000 0.000 0.000
F 0.000 0.000 2.316
Rb 1.946 1.946 2.316
```

Summary:
The calculation puts the spin magnetization at 0.000 Bohr magnetons per cell. As for the symmetry: P4/mmm, No. 123. The calculation puts the formation energy from raw total energies at -1.4524 eV/atom.

=====

# 8
A relaxed K2Zr4S7 crystal. Source: the Alexandria database, functional GGA-PBE.

The structure in extended XYZ format:
```
13
Lattice="-3.076 -1.541 5.489 5.978 -2.240 -1.101 3.259 6.855 3.751" Properties=species:S:1:pos:R:3 pbc="T T T"
S 3.291 1.192 0.700
S -0.211 1.462 3.250
S 0.000 0.000 0.000
S 0.395 3.852 5.990
S 3.403 3.334 4.322
S 2.758 -0.259 3.816
S 5.946 3.423 1.949
Zr 0.974 2.049 1.121
Zr 1.572 1.654 5.167
Zr 4.590 1.421 2.971
Zr 2.285 4.806 2.629
K 2.960 -2.007 1.095
K -0.058 -1.774 3.292
```

Summary:
The calculation puts the spin magnetization at 0.000 Bohr magnetons per cell. As for the symmetry: P-31m, No. 162. The calculation puts the formation energy from raw total energies at -1.3316 eV/atom.

=====

# 9
A relaxed NaBi3Au8 crystal. Source: the Alexandria database, functional GGA-PBE.

The structure in extended XYZ format:
```
12
Lattice="-2.217 -4.297 -2.968 3.327 -4.243 -1.765 -1.315 -7.481 6.390" Properties=species:S:1:pos:R:3 pbc="T T T"
Au 0.140 -13.130 -0.064
Au 1.895 -7.279 -1.723
Au -0.365 -4.868 1.898
Au -0.877 -7.306 -2.324
Au 0.232 -5.157 -0.840
Au -1.516 -11.016 0.814
Au 1.245 -10.990 1.414
Au -0.474 -12.895 2.754
Bi -0.115 -8.045 0.888
Bi -1.303 -7.448 6.334
Bi -0.733 -9.745 3.811
Na 0.484 -10.261 -1.773
```

Summary:
The calculation puts the spin magnetization at 0.000 Bohr magnetons per cell. The energy above the most stable polymorph in this dataset is 0 meV per atom. As for the symmetry: R3m, No. 160. For the energy of formation, the calculation gives -0.125 eV/atom.

=====

# 10
A relaxed LiMnBiAu crystal. Source: the Alexandria database, functional GGA-PBE.

The structure in extended XYZ format:
```
4
Lattice="4.746 0.000 0.000 2.373 4.110 0.000 2.373 1.370 3.875" Properties=species:S:1:pos:R:3 pbc="T T T"
Li 2.373 1.370 0.969
Bi 4.746 2.740 1.938
Au 0.000 0.000 0.000
Mn 7.119 4.110 2.906
```

Summary:
The calculation puts the spin magnetization at 3.882 Bohr magnetons per cell. As for the symmetry: F-43m, No. 216. For the energy of formation, the calculation gives -0.116 eV/atom.

=====

# 11
A relaxed SbTe3Se crystal. Source: the Alexandria database, functional GGA-PBE.

The structure in extended XYZ format:
```
5
Lattice="-1.903 -5.094 -0.350 4.473 -1.483 -2.735 2.461 -1.243 4.700" Properties=species:S:1:pos:R:3 pbc="T T T"
Sb 2.516 -3.910 0.807
Te -0.952 -2.547 -0.175
Te 1.231 -0.621 2.350
Te 2.237 -0.742 -1.368
Se 0.000 0.000 0.000
```

Summary:
The calculation puts the spin magnetization at 0.000 Bohr magnetons per cell. The energy above the most stable polymorph in this dataset is 0 meV per atom. As for the symmetry: Pm-3m, No. 221. The calculation puts the formation energy from raw total energies at 0.5285 eV/atom.

=====

# 12
A relaxed Cr crystal. Source: the Alexandria database, functional GGA-PBE.

The structure in extended XYZ format:
```
1
Lattice="2.562 0.000 0.000 1.281 2.219 0.000 1.281 0.740 2.092" Properties=species:S:1:pos:R:3 pbc="T T T"
Cr 0.000 0.000 0.000
```

Summary:
The calculation puts the spin magnetization at 0.000 Bohr magnetons per cell. The energy above the most stable polymorph in this dataset is 384 meV per atom. As for the symmetry: Fm-3m, No. 225. For the energy of formation, the calculation gives 0.384 eV/atom.